## AcP6Pd12 (PBE-GGA)

Data for an optimized crystal structure of AcP6Pd12.

Values from the calculation:
Magnetic moment ... 0.0 μB/cell
Volume ... 16.5 Å³/atom
Energy of formation from the pure elements ... -0.53 eV/atom

a b c (Å): 11.0142 11.0142 8.9687
angles (deg): 90.00 90.00 120.00
Space group R-3m (No. 166, hexagonal axes)
One atom of each set of equivalent atoms:
Ac1 0.0000 0.0000 0.0000 x3
P1 0.0433 0.5217 0.2870 x18
Pd1 0.0000 0.3726 0.5000 x18
Pd2 0.0901 0.1802 0.3610 x18